{
  "formula": "LaCr",
  "functional": "GGA-PBE",
  "state": "optimized geometry",
  "dft_energy_ev_per_cell": -27.21,
  "sg": "Fmmm (69)",
  "crystal_system": "orthorhombic",
  "magnetic_moment_mub_per_fu": 0.00,
  "lattice": [[0.0000, 3.3782, 5.3692], [2.5628, 0.0000, 5.3692], [2.5628, 3.3782, 0.0000]],
  "species": ["La", "La", "Cr", "Cr"],
  "fractional_positions": [[0.1638, 0.1638, 0.8362], [0.8362, 0.8362, 0.1638], [0.3617, 0.6383, 0.3617], [0.6383, 0.3617, 0.6383]]
}

---

{
  "formula": "La3Cr",
  "functional": "GGA-PBE",
  "state": "optimized geometry",
  "dft_energy_ev_per_cell": -23.35,
  "sg": "Imm2 (44)",
  "crystal_system": "orthorhombic",
  "magnetic_moment_mub_per_fu": 3.16,
  "lattice": [[-1.9296, 5.7715, 2.8404], [1.9296, -5.7715, 2.8404], [1.9296, 5.7715, -2.8404]],
  "species": ["La", "La", "La", "Cr"],
  "fractional_positions": [[0.0000, 0.0000, 0.0000], [0.2867, 0.4991, 0.7876], [0.7115, 0.4991, 0.2124], [0.5003, 0.0003, 0.5000]]
}

---

{
  "formula": "LaCr",
  "functional": "GGA-PBE",
  "state": "optimized geometry",
  "dft_energy_ev_per_cell": -26.44,
  "sg": "Pmmn (59)",
  "crystal_system": "orthorhombic",
  "magnetic_moment_mub_per_fu": 3.28,
  "lattice": [[3.3486, 0.0000, 0.0000], [0.0000, 4.7468, 0.0000], [0.0000, 0.0000, 6.4485]],
  "species": ["La", "La", "Cr", "Cr"],
  "fractional_positions": [[0.2500, 0.2500, 0.1827], [0.7500, 0.7500, 0.8173], [0.2500, 0.2500, 0.6331], [0.7500, 0.7500, 0.3669]]
}

---

{
  "formula": "LaCr",
  "functional": "GGA-PBE",
  "state": "optimized geometry",
  "dft_energy_ev_per_cell": -52.87,
  "sg": "I4/mmm (139)",
  "crystal_system": "tetragonal",
  "magnetic_moment_mub_per_fu": 0.00,
  "lattice": [[-5.5618, 5.5618, 1.7914], [5.5618, -5.5618, 1.7914], [5.5618, 5.5618, -1.7914]],
  "species": ["La", "La", "La", "La", "Cr", "Cr", "Cr", "Cr"],
  "fractional_positions": [[0.0000, 0.2746, 0.2746], [0.0000, 0.7254, 0.7254], [0.2746, 0.0000, 0.2746], [0.7254, 0.0000, 0.7254], [0.2898, 0.2898, 0.5795], [0.2898, 0.7102, 0.0000], [0.7102, 0.2898, 0.0000], [0.7102, 0.7102, 0.4205]]
}

---

{
  "formula": "LaCr2",
  "functional": "GGA-PBE",
  "state": "optimized geometry",
  "dft_energy_ev_per_cell": -45.48,
  "sg": "C2/m (12)",
  "crystal_system": "monoclinic",
  "magnetic_moment_mub_per_fu": 0.85,
  "lattice": [[4.3898, -1.5306, 0.0000], [4.3898, 1.5306, 0.0000], [-2.4060, 0.0000, 8.7279]],
  "species": ["La", "La", "Cr", "Cr", "Cr", "Cr"],
  "fractional_positions": [[0.1684, 0.1684, 0.1524], [0.8316, 0.8316, 0.8476], [0.1641, 0.1641, 0.5425], [0.4986, 0.4986, 0.6477], [0.5014, 0.5014, 0.3523], [0.8359, 0.8359, 0.4575]]
}

---

{
  "formula": "La4Cr3",
  "functional": "GGA-PBE",
  "state": "optimized geometry",
  "dft_energy_ev_per_cell": -44.24,
  "sg": "P6/mmm (191)",
  "crystal_system": "hexagonal",
  "magnetic_moment_mub_per_fu": 3.82,
  "lattice": [[5.3228, 0.0000, 0.0000], [-2.6614, 4.6097, 0.0000], [0.0000, 0.0000, 6.6698]],
  "species": ["La", "La", "La", "La", "Cr", "Cr", "Cr"],
  "fractional_positions": [[0.0000, 0.0000, 0.2362], [0.0000, 0.0000, 0.7638], [0.3333, 0.6667, 0.5000], [0.6667, 0.3333, 0.5000], [0.0000, 0.5000, 0.0000], [0.5000, 0.0000, 0.0000], [0.5000, 0.5000, 0.0000]]
}

---

{
  "formula": "LaCr5",
  "functional": "GGA-PBE",
  "state": "optimized geometry",
  "dft_energy_ev_per_cell": -49.87,
  "e_above_lowest_polymorph_mev_per_atom": 151,
  "sg": "Amm2 (38)",
  "crystal_system": "orthorhombic",
  "magnetic_moment_mub_per_fu": 3.03,
  "lattice": [[4.2948, 0.0000, 0.0000], [0.0000, 1.5046, 7.7565], [0.0000, -1.5046, 7.7565]],
  "species": ["La", "Cr", "Cr", "Cr", "Cr", "Cr"],
  "fractional_positions": [[0.0000, 0.0000, 0.0000], [0.0000, 0.3171, 0.3171], [0.0000, 0.6994, 0.6994], [0.5000, 0.1990, 0.1990], [0.5000, 0.5864, 0.5864], [0.5000, 0.8297, 0.8297]]
}

---

{
  "formula": "LaCr",
  "functional": "GGA-PBE",
  "state": "optimized geometry",
  "dft_energy_ev_per_cell": -25.32,
  "sg": "P6_3mc (186)",
  "crystal_system": "hexagonal",
  "magnetic_moment_mub_per_fu": 3.51,
  "lattice": [[3.2965, 0.0000, 0.0000], [-1.6483, 2.8549, 0.0000], [0.0000, 0.0000, 11.0218]],
  "species": ["La", "La", "Cr", "Cr"],
  "fractional_positions": [[0.3333, 0.6667, 0.0000], [0.6667, 0.3333, 0.5000], [0.3333, 0.6667, 0.7332], [0.6667, 0.3333, 0.2332]]
}

---

{
  "formula": "LaCr2",
  "functional": "GGA-PBE",
  "state": "optimized geometry",
  "dft_energy_ev_per_cell": -22.63,
  "sg": "I4/mmm (139)",
  "crystal_system": "tetragonal",
  "magnetic_moment_mub_per_fu": 0.00,
  "lattice": [[-1.5401, 1.5401, 5.8596], [1.5401, -1.5401, 5.8596], [1.5401, 1.5401, -5.8596]],
  "species": ["La", "Cr", "Cr"],
  "fractional_positions": [[0.0000, 0.0000, 0.0000], [0.2866, 0.2866, 0.0000], [0.7134, 0.7134, 0.0000]]
}

---

{
  "formula": "La3Cr",
  "functional": "GGA-PBE",
  "state": "optimized geometry",
  "dft_energy_ev_per_cell": -46.27,
  "sg": "Pmmn (59)",
  "crystal_system": "orthorhombic",
  "magnetic_moment_mub_per_fu": 3.13,
  "lattice": [[5.4465, 0.0000, 0.0000], [0.0000, 7.2409, 0.0000], [0.0000, 0.0000, 6.2446]],
  "species": ["La", "La", "La", "La", "La", "La", "Cr", "Cr"],
  "fractional_positions": [[0.2500, 0.0013, 0.1732], [0.2500, 0.2500, 0.6185], [0.2500, 0.4987, 0.1732], [0.7500, 0.5013, 0.8268], [0.7500, 0.7500, 0.3815], [0.7500, 0.9987, 0.8268], [0.2500, 0.7500, 0.6849], [0.7500, 0.2500, 0.3151]]
}

---

{
  "formula": "LaCr",
  "functional": "GGA-PBE",
  "state": "optimized geometry",
  "dft_energy_ev_per_cell": -26.03,
  "sg": "P6_3/mmc (194)",
  "crystal_system": "hexagonal",
  "magnetic_moment_mub_per_fu": 3.48,
  "lattice": [[3.5005, 0.0000, 0.0000], [-1.7502, 3.0315, 0.0000], [0.0000, 0.0000, 9.7574]],
  "species": ["La", "La", "Cr", "Cr"],
  "fractional_positions": [[0.0000, 0.0000, 0.0000], [0.0000, 0.0000, 0.5000], [0.3333, 0.6667, 0.2500], [0.6667, 0.3333, 0.7500]]
}

---

{
  "formula": "LaCr",
  "functional": "GGA-PBE",
  "state": "optimized geometry",
  "dft_energy_ev_per_cell": -27.18,
  "sg": "Pmma (51)",
  "crystal_system": "orthorhombic",
  "magnetic_moment_mub_per_fu": 3.45,
  "lattice": [[5.2764, 0.0000, 0.0000], [0.0000, 3.7424, 0.0000], [0.0000, 0.0000, 5.2755]],
  "species": ["La", "La", "Cr", "Cr"],
  "fractional_positions": [[0.2500, 0.0000, 0.2497], [0.7500, 0.0000, 0.7503], [0.2500, 0.5000, 0.7493], [0.7500, 0.5000, 0.2507]]
}